{"formula": "WSeS3", "functional": "GGA-PBE", "state": "relaxed", "lattice_angstrom": [[4.6727, 0.0000, 0.0000], [0.0000, 4.6727, 0.0000], [0.0000, 0.0000, 4.6727]], "species": ["S", "S", "S", "Se", "W"], "frac_coords": [[0.0000, 0.5000, 0.0000], [0.0000, 0.0000, 0.5000], [0.5000, 0.0000, 0.0000], [0.5000, 0.5000, 0.5000], [0.0000, 0.0000, 0.0000]], "e_form_raw_ev_per_atom": 0.34, "dos_ef_per_ev_fu": 4.53, "m_tot_mub_per_atom": 0.0000, "relative_energy_ev_per_atom": 0.0000, "total_energy_ev_per_cell": -27.11}